No. 1
# PBE+U Li3V3CrO8, relaxed
# D(E_F), states/eV/f.u.: 0.7
# Calculated volume, Å³ per atom: 10.5
# Total moment, Bohr magnetons per cell: 16.0
# E_tot, eV/cell: -210.5
data_Li3V3CrO8
_chemical_formula_sum 'Li6 V6 Cr2 O16'
_cell_length_a 12.3881
_cell_length_b 4.0916
_cell_length_c 6.5091
_cell_angle_alpha 90.00
_cell_angle_beta 106.74
_cell_angle_gamma 90.00
_space_group_name_H-M_alt 'C 1 m 1'
_space_group_IT_number 8
_space_group_name_Hall 'C -2y'
loop_
_atom_site_label
_atom_site_type_symbol
_atom_site_fract_x
_atom_site_fract_y
_atom_site_fract_z
Li1 Li 0.0000 0.0000 0.0000
Li2 Li 0.1188 0.0000 0.7237
Li3 Li 0.2439 0.0000 0.3658
V1 V 0.1672 0.5000 0.0649
V2 V 0.3523 0.0000 0.0561
V3 V 0.4568 0.0000 0.6490
Cr1 Cr 0.2801 0.5000 0.6766
O1 O 0.0074 0.5000 0.9983
O2 O 0.1269 0.5000 0.7315
O3 O 0.1780 0.0000 0.0517
O4 O 0.2159 0.5000 0.3525
O5 O 0.2931 0.0000 0.6952
O6 O 0.3269 0.5000 0.0033
O7 O 0.4037 0.0000 0.3520
O8 O 0.4430 0.5000 0.6843

***

No. 2
# PBE+U Li2VCr2O6, relaxed
# D(E_F), states/eV/f.u.: 0.0
# Calculated volume, Å³ per atom: 10.6
# Total moment, Bohr magnetons per cell: 28.0
# E_tot, eV/cell: -311.6
data_Li2VCr2O6
_chemical_formula_sum 'Li8 V4 Cr8 O24'
_cell_length_a 9.0162
_cell_length_b 5.1103
_cell_length_c 10.1592
_cell_angle_alpha 90.00
_cell_angle_beta 90.00
_cell_angle_gamma 90.00
_space_group_name_H-M_alt 'C m c e'
_space_group_IT_number 64
_space_group_name_Hall '-C 2ac 2'
loop_
_atom_site_label
_atom_site_type_symbol
_atom_site_fract_x
_atom_site_fract_y
_atom_site_fract_z
Li1 Li 0.2500 0.1060 0.2500
V1 V 0.0000 0.0000 0.0000
Cr1 Cr 0.1649 0.0000 0.5000
O1 O 0.0000 0.1854 0.5965
O2 O 0.1706 0.1606 0.8938

***

- What is the D(E_F) in the second record?
  0.0 states/eV/f.u.

***

What did the second record say?
# PBE+U Li2VCr2O6, relaxed
# D(E_F), states/eV/f.u.: 0.0
# Calculated volume, Å³ per atom: 10.6
# Total moment, Bohr magnetons per cell: 28.0
# E_tot, eV/cell: -311.6
data_Li2VCr2O6
_chemical_formula_sum 'Li8 V4 Cr8 O24'
_cell_length_a 9.0162
_cell_length_b 5.1103
_cell_length_c 10.1592
_cell_angle_alpha 90.00
_cell_angle_beta 90.00
_cell_angle_gamma 90.00
_space_group_name_H-M_alt 'C m c e'
_space_group_IT_number 64
_space_group_name_Hall '-C 2ac 2'
loop_
_atom_site_label
_atom_site_type_symbol
_atom_site_fract_x
_atom_site_fract_y
_atom_site_fract_z
Li1 Li 0.2500 0.1060 0.2500
V1 V 0.0000 0.0000 0.0000
Cr1 Cr 0.1649 0.0000 0.5000
O1 O 0.0000 0.1854 0.5965
O2 O 0.1706 0.1606 0.8938

***

- Among the records above, which one has the highest D(E_F)?
  Li3V3CrO8